(1)
This record from Alexandria via LeMat-Bulk describes a relaxed Rb2BaScI6 crystal. The functional is PBE.

Calculated values
- E_form (uncorrected) (kJ/mol of formula units) = -1313
- total DFT energy (no corrections) (eV for the cell shown) = -33.098
- crystal system = cubic
- magnetization (μB/f.u.) = 1.00

Unit cell a=8.929 b=8.929 c=8.929 alpha=60.00 beta=60.00 gamma=90.00
Each line ends with the local moment (μB).
Fractional coordinates of all 10 atoms:
1 I 0.266 0.266 0.000  -0.01
2 I 0.734 0.734 0.000  -0.01
3 I 0.266 0.266 0.467  -0.01
4 I 0.734 0.266 0.000  -0.01
5 I 0.734 0.734 0.533  -0.01
6 I 0.266 0.734 0.000  -0.01
7 Ba 0.000 0.000 0.000  0.03
8 Rb 0.750 0.250 0.500  0.00
9 Rb 0.250 0.750 0.500  0.00
10 Sc 0.500 0.500 0.000  0.64

***

(2)
This record from Alexandria via LeMat-Bulk describes a relaxed Zn4NiPt2 crystal. The functional is PBE.

Calculated values
- calculated formation energy (eV/atom) = -0.3878
- total DFT energy (no corrections) (eV for the cell shown) = -25.673
- crystal system = trigonal
- magnetization (μB/f.u.) = 0.00

Unit cell a=4.273 b=4.273 c=7.195 alpha=72.73 beta=72.73 gamma=60.00
Fractional coordinates of all 7 atoms:
1 Zn 0.617 0.617 0.150
2 Zn 0.383 0.383 0.850
3 Zn 0.872 0.872 0.385
4 Zn 0.128 0.128 0.615
5 Pt 0.255 0.255 0.234
6 Pt 0.745 0.745 0.766
7 Ni 0.000 0.000 0.000

***

(3)
This record from Alexandria via LeMat-Bulk describes a relaxed Zr3In crystal. The functional is PBE.

Calculated values
- calculated formation energy (eV/atom) = -0.1333
- total DFT energy (no corrections) (eV for the cell shown) = -28.916
- crystal system = monoclinic
- magnetization (μB/f.u.) = 0.00

Unit cell a=5.534 b=5.534 c=5.459 alpha=78.86 beta=78.86 gamma=33.87
Fractional coordinates of all 4 atoms:
1 Zr 0.256 0.256 0.242
2 Zr 0.744 0.744 0.758
3 Zr 0.500 0.500 0.500
4 In 0.000 0.000 0.000

***

(4)
This record from Alexandria via LeMat-Bulk describes a relaxed Sr3NdMg4 crystal. The functional is PBE.

Calculated values
- calculated formation energy (eV/atom) = -0.0593
- total DFT energy (no corrections) (eV for the cell shown) = -16.666
- crystal system = tetragonal
- magnetization (μB/f.u.) = 0.00

Unit cell a=4.060 b=4.060 c=16.771 alpha=90.00 beta=90.00 gamma=90.00
Fractional coordinates of all 8 atoms:
1 Sr 0.500 0.500 0.240
2 Sr 0.500 0.500 0.500
3 Sr 0.500 0.500 0.760
4 Mg 0.000 0.000 0.370
5 Mg 0.000 0.000 0.630
6 Mg 0.000 0.000 0.107
7 Mg 0.000 0.000 0.893
8 Nd 0.500 0.500 0.000

***

(5)
This record from Alexandria via LeMat-Bulk describes a relaxed SrTmSnAu crystal. The functional is PBE.

Calculated values
- calculated formation energy (eV/atom) = -0.6537
- total DFT energy (no corrections) (eV for the cell shown) = -16.049
- crystal system = cubic
- magnetization (μB/f.u.) = 0.00

Unit cell a=5.361 b=5.361 c=5.361 alpha=60.00 beta=60.00 gamma=60.00
Fractional coordinates of all 4 atoms:
1 Sn 0.750 0.750 0.750
2 Tm 0.000 0.000 0.000
3 Sr 0.500 0.500 0.500
4 Au 0.250 0.250 0.250